A plane-wave DFT calculation with PBE was carried out for SmDy2Tl3S6 after structural relaxation.

symmetry: C2/m
uncorrected formation energy: -17.787 eV per formula unit
size of the total moment: 0.00 μB per atom

POSCAR file:
```
SmDy2Tl3S6
1.0
7.037 -0.001 0.001
-3.518 6.095 0.001
-1.173 -2.032 7.515
Sm Dy Tl S
1 2 3 6
Direct
0.000 0.000 0.000
0.333 0.667 0.000
0.667 0.333 0.000
0.166 0.834 0.500
0.834 0.166 0.500
0.500 0.500 0.500
0.934 0.594 0.800
0.727 0.727 0.198
0.066 0.406 0.200
0.594 0.934 0.800
0.273 0.273 0.802
0.406 0.066 0.200
```

=====

A plane-wave DFT calculation with PBE was carried out for SmDyTm2S6 after structural relaxation.

symmetry: R3
uncorrected formation energy: -20.533 eV per formula unit
size of the total moment: 0.00 μB per atom

POSCAR file:
```
SmDyTm2S6
1.0
6.906 0.000 0.000
3.453 5.980 0.000
3.453 1.994 6.146
Sm Dy Tm S
1 1 2 6
Direct
0.812 0.812 0.565
0.315 0.315 0.055
0.516 0.516 0.452
0.014 0.014 0.958
0.619 0.225 0.247
0.225 0.909 0.247
0.909 0.619 0.247
0.399 0.724 0.748
0.724 0.130 0.748
0.130 0.399 0.748
```

=====

A plane-wave DFT calculation with PBE was carried out for Sm4Dy3TmS8 after structural relaxation.

symmetry: R-3m
uncorrected formation energy: -32.002 eV per formula unit
size of the total moment: 0.00 μB per atom

POSCAR file:
```
Sm4Dy3TmS8
1.0
-1.034 -7.526 -2.027
7.467 -1.611 2.173
-4.898 3.399 5.126
Sm Dy Tm S
4 3 1 8
Direct
0.500 0.000 0.000
0.500 0.000 0.500
0.000 0.000 0.000
0.000 0.000 0.500
0.500 0.500 0.000
0.500 0.500 0.500
0.000 0.500 0.500
0.000 0.500 0.000
0.244 0.737 0.993
0.244 0.737 0.488
0.254 0.261 0.507
0.749 0.737 0.993
0.251 0.263 0.007
0.746 0.739 0.493
0.756 0.263 0.512
0.756 0.263 0.007
```

=====

A plane-wave DFT calculation with PBE was carried out for Sm3DyTm3S8 after structural relaxation.

symmetry: R-3m
uncorrected formation energy: -30.591 eV per formula unit
size of the total moment: 0.00 μB per atom

POSCAR file:
```
Sm3DyTm3S8
1.0
7.803 0.000 0.000
-3.902 6.758 -0.024
0.000 -4.483 6.468
Sm Dy Tm S
3 1 3 8
Direct
0.000 0.000 0.000
0.000 0.500 0.000
0.500 0.500 0.000
0.000 0.000 0.500
0.500 0.000 0.500
0.500 0.500 0.500
0.000 0.500 0.500
0.255 0.510 0.265
0.745 0.490 0.735
0.750 0.500 0.260
0.250 0.500 0.740
0.750 0.010 0.260
0.250 0.990 0.740
0.260 0.010 0.260
0.740 0.990 0.740
```

=====

A plane-wave DFT calculation with PBE was carried out for Sm3Dy3TmS8 after structural relaxation.

symmetry: R-3m
uncorrected formation energy: -30.829 eV per formula unit
size of the total moment: 0.00 μB per atom

POSCAR file:
```
Sm3Dy3TmS8
1.0
-3.601 -6.958 -0.691
7.065 1.114 -3.271
-0.665 -0.437 7.870
Sm Dy Tm S
3 3 1 8
Direct
0.000 0.000 0.000
0.000 0.500 0.000
0.500 0.500 0.000
0.500 0.000 0.500
0.500 0.500 0.500
0.000 0.500 0.500
0.000 0.000 0.500
0.253 0.506 0.259
0.747 0.494 0.741
0.755 0.509 0.261
0.245 0.491 0.739
0.755 0.006 0.261
0.245 0.994 0.739
0.252 0.006 0.261
0.748 0.994 0.739
```

=====

A plane-wave DFT calculation with PBE was carried out for SmDyTm4S8 after structural relaxation.

symmetry: R3m
uncorrected formation energy: -26.853 eV per formula unit
size of the total moment: 0.00 μB per atom

POSCAR file:
```
SmDyTm4S8
1.0
7.989 0.000 0.000
3.994 6.918 0.000
3.994 2.306 6.551
Sm Dy Tm S
1 1 4 8
Direct
0.374 0.374 0.877
0.999 0.999 0.002
0.625 0.625 0.124
0.999 0.502 0.499
0.502 0.999 0.499
0.999 0.999 0.499
0.242 0.781 0.735
0.781 0.242 0.735
0.242 0.242 0.735
0.238 0.238 0.285
0.754 0.230 0.261
0.230 0.754 0.261
0.754 0.754 0.261
0.758 0.758 0.727
```

=====

A plane-wave DFT calculation with PBE was carried out for SmDy2TmS4 after structural relaxation.

symmetry: P2/m
uncorrected formation energy: -15.828 eV per formula unit
size of the total moment: 0.00 μB per atom

POSCAR file:
```
SmDy2TmS4
1.0
3.877 0.000 0.000
0.000 6.774 -0.152
0.000 2.369 6.417
Sm Dy Tm S
1 2 1 4
Direct
0.500 0.500 0.000
0.000 0.000 0.000
0.500 0.000 0.500
0.000 0.500 0.500
0.000 0.754 0.741
0.000 0.246 0.259
0.500 0.749 0.258
0.500 0.251 0.742
```

=====

A plane-wave DFT calculation with PBE was carried out for Sm2DyTmS5 after structural relaxation.

symmetry: P4/mmm
uncorrected formation energy: -12.914 eV per formula unit
size of the total moment: 0.00 μB per atom

POSCAR file:
```
Sm2DyTmS5
1.0
-0.965 2.575 3.957
3.688 -2.110 2.272
6.236 7.371 -3.276
Sm Dy Tm S
2 1 1 5
Direct
0.500 0.500 0.299
0.500 0.500 0.701
0.000 0.000 0.000
0.000 0.000 0.500
0.000 0.500 0.500
0.500 0.000 0.500
0.000 0.000 0.754
0.000 0.000 0.246
0.500 0.500 0.000
```

=====

A plane-wave DFT calculation with PBE was carried out for Sm2Dy3TmS6 after structural relaxation.

symmetry: C2/m
uncorrected formation energy: -23.900 eV per formula unit
size of the total moment: 0.00 μB per atom

POSCAR file:
```
Sm2Dy3TmS6
1.0
-3.668 -1.136 0.776
2.040 -7.509 -1.353
3.306 1.536 7.981
Sm Dy Tm S
2 3 1 6
Direct
0.832 0.664 0.664
0.168 0.336 0.336
0.500 0.500 0.000
0.831 0.167 0.662
0.169 0.833 0.338
0.500 0.000 0.000
0.336 0.925 0.672
0.664 0.589 0.328
0.664 0.075 0.328
0.997 0.244 0.994
0.003 0.756 0.006
0.336 0.411 0.672
```

=====

A plane-wave DFT calculation with PBE was carried out for Sm2DyTmS6 after structural relaxation.

symmetry: R3
uncorrected formation energy: -20.457 eV per formula unit
size of the total moment: 0.00 μB per atom

POSCAR file:
```
Sm2DyTmS6
1.0
-5.193 -2.106 -4.160
1.306 -1.635 -6.658
-0.237 -7.108 -1.960
Sm Dy Tm S
2 1 1 6
Direct
0.521 0.521 0.438
0.020 0.020 0.940
0.816 0.816 0.551
0.317 0.317 0.048
0.605 0.206 0.256
0.206 0.933 0.255
0.933 0.605 0.256
0.428 0.704 0.757
0.704 0.110 0.757
0.110 0.429 0.757
```

=====

A plane-wave DFT calculation with PBE was carried out for SmDy4TmS8 after structural relaxation.

symmetry: R3m
uncorrected formation energy: -26.992 eV per formula unit
size of the total moment: 0.00 μB per atom

POSCAR file:
```
SmDy4TmS8
1.0
8.068 0.000 0.000
4.034 6.987 0.000
4.034 2.329 6.563
Sm Dy Tm S
1 4 1 8
Direct
0.376 0.376 0.873
0.624 0.624 0.127
0.999 0.501 0.500
0.501 0.999 0.500
0.999 0.999 0.500
0.000 0.000 0.001
0.238 0.781 0.744
0.781 0.238 0.744
0.238 0.238 0.744
0.241 0.241 0.278
0.760 0.226 0.253
0.226 0.760 0.253
0.760 0.760 0.253
0.757 0.757 0.730
```

=====

A plane-wave DFT calculation with PBE was carried out for SmDy2TmS6 after structural relaxation.

symmetry: R3
uncorrected formation energy: -20.518 eV per formula unit
size of the total moment: 0.00 μB per atom

POSCAR file:
```
SmDy2TmS6
1.0
6.931 0.001 0.000
3.466 6.002 0.000
3.465 2.001 6.177
Sm Dy Tm S
1 2 1 6
Direct
0.813 0.813 0.562
0.518 0.518 0.446
0.015 0.015 0.954
0.317 0.317 0.049
0.610 0.220 0.249
0.220 0.921 0.249
0.921 0.610 0.249
0.406 0.716 0.752
0.716 0.125 0.752
0.125 0.406 0.752
```

=====

A plane-wave DFT calculation with PBE was carried out for Sm4DyTmS8 after structural relaxation.

symmetry: R3m
uncorrected formation energy: -26.873 eV per formula unit
size of the total moment: 0.00 μB per atom

POSCAR file:
```
Sm4DyTmS8
1.0
-2.096 -6.023 -5.094
5.097 -2.266 -5.958
3.808 -7.197 0.404
Sm Dy Tm S
4 1 1 8
Direct
0.624 0.624 0.127
0.001 0.497 0.501
0.497 0.001 0.501
0.001 0.001 0.501
0.001 0.001 0.997
0.375 0.375 0.874
0.242 0.764 0.752
0.764 0.242 0.752
0.242 0.242 0.752
0.247 0.247 0.260
0.762 0.223 0.252
0.223 0.762 0.252
0.762 0.762 0.252
0.757 0.757 0.728
```

=====

A plane-wave DFT calculation with PBE was carried out for SmDy2Tm3S6 after structural relaxation.

symmetry: C2/m
uncorrected formation energy: -23.619 eV per formula unit
size of the total moment: 0.00 μB per atom

POSCAR file:
```
SmDy2Tm3S6
1.0
-3.136 -2.271 0.129
3.905 -5.610 -3.820
3.108 -0.528 8.113
Sm Dy Tm S
1 2 3 6
Direct
0.500 0.000 0.000
0.834 0.668 0.668
0.166 0.332 0.332
0.500 0.500 0.000
0.835 0.166 0.670
0.165 0.834 0.330
0.329 0.919 0.658
0.666 0.587 0.331
0.671 0.081 0.342
0.999 0.261 0.998
0.001 0.739 0.002
0.334 0.413 0.669
```

=====

A plane-wave DFT calculation with PBE was carried out for Sm2DyY3S6 after structural relaxation.

symmetry: C2/m
uncorrected formation energy: -24.069 eV per formula unit
size of the total moment: 0.00 μB per atom

POSCAR file:
```
Sm2DyY3S6
1.0
-2.388 -2.700 1.577
-2.370 -2.143 -7.259
7.947 -3.752 0.701
Sm Dy Y S
2 1 3 6
Direct
0.833 0.665 0.665
0.167 0.335 0.335
0.500 0.000 0.000
0.500 0.500 0.000
0.832 0.167 0.664
0.168 0.833 0.336
0.334 0.923 0.669
0.664 0.588 0.329
0.666 0.077 0.331
0.998 0.248 0.995
0.002 0.752 0.005
0.336 0.412 0.671
```

=====

A plane-wave DFT calculation with PBE was carried out for Sm3Dy3YS8 after structural relaxation.

symmetry: R-3m
uncorrected formation energy: -30.860 eV per formula unit
size of the total moment: 0.00 μB per atom

POSCAR file:
```
Sm3Dy3YS8
1.0
-3.117 7.229 -0.202
-3.858 -5.852 3.590
6.598 2.935 3.238
Sm Dy Y S
3 3 1 8
Direct
0.000 0.000 0.000
0.000 0.500 0.000
0.500 0.500 0.000
0.500 0.000 0.500
0.500 0.500 0.500
0.000 0.500 0.500
0.000 0.000 0.500
0.253 0.506 0.259
0.747 0.494 0.741
0.751 0.503 0.258
0.249 0.497 0.742
0.751 0.006 0.258
0.249 0.994 0.742
0.255 0.006 0.258
0.745 0.994 0.742
```

=====

A plane-wave DFT calculation with PBE was carried out for Sm3DyY3S8 after structural relaxation.

symmetry: R-3m
uncorrected formation energy: -30.862 eV per formula unit
size of the total moment: 0.00 μB per atom

POSCAR file:
```
Sm3DyY3S8
1.0
7.888 0.000 0.000
-3.944 6.831 -0.024
0.000 -4.531 6.499
Sm Dy Y S
3 1 3 8
Direct
0.000 0.000 0.000
0.000 0.500 0.000
0.500 0.500 0.000
0.000 0.000 0.500
0.500 0.000 0.500
0.500 0.500 0.500
0.000 0.500 0.500
0.253 0.505 0.258
0.747 0.495 0.742
0.752 0.504 0.257
0.248 0.496 0.743
0.752 0.005 0.257
0.248 0.995 0.743
0.253 0.005 0.257
0.747 0.995 0.743
```

=====

A plane-wave DFT calculation with PBE was carried out for Sm4Dy3YS8 after structural relaxation.

symmetry: R-3m
uncorrected formation energy: -32.119 eV per formula unit
size of the total moment: 0.00 μB per atom

POSCAR file:
```
Sm4Dy3YS8
1.0
7.892 0.000 0.000
0.000 7.949 0.034
-3.946 -3.942 5.583
Sm Dy Y S
4 3 1 8
Direct
0.500 0.000 0.000
0.500 0.000 0.500
0.000 0.000 0.000
0.000 0.000 0.500
0.500 0.500 0.000
0.500 0.500 0.500
0.000 0.500 0.500
0.000 0.500 0.000
0.247 0.740 0.993
0.247 0.740 0.494
0.254 0.261 0.507
0.746 0.740 0.993
0.254 0.260 0.007
0.746 0.739 0.493
0.753 0.260 0.506
0.753 0.260 0.007
```

=====

A plane-wave DFT calculation with PBE was carried out for Sm2Dy3YS6 after structural relaxation.

symmetry: C2/m
uncorrected formation energy: -24.061 eV per formula unit
size of the total moment: 0.00 μB per atom

POSCAR file:
```
Sm2Dy3YS6
1.0
-2.884 0.370 2.641
1.765 -7.148 2.930
6.346 5.151 3.287
Sm Dy Y S
2 3 1 6
Direct
0.833 0.665 0.665
0.167 0.335 0.335
0.500 0.500 0.000
0.832 0.167 0.664
0.168 0.833 0.336
0.500 0.000 0.000
0.334 0.924 0.668
0.664 0.589 0.328
0.666 0.076 0.332
0.998 0.249 0.995
0.002 0.751 0.005
0.336 0.411 0.672
```

=====

A plane-wave DFT calculation with PBE was carried out for SmDy4YS8 after structural relaxation.

symmetry: R3m
uncorrected formation energy: -27.061 eV per formula unit
size of the total moment: 0.00 μB per atom

POSCAR file:
```
SmDy4YS8
1.0
8.079 0.000 0.000
4.039 6.996 0.000
4.039 2.332 6.600
Sm Dy Y S
1 4 1 8
Direct
0.375 0.375 0.875
0.625 0.625 0.125
0.000 0.501 0.500
0.501 0.000 0.500
0.000 0.000 0.500
0.000 0.000 0.001
0.241 0.779 0.739
0.779 0.241 0.739
0.241 0.241 0.739
0.240 0.240 0.280
0.757 0.229 0.258
0.229 0.757 0.258
0.757 0.757 0.258
0.757 0.757 0.728
```

=====

Listing V for the structures above in their given order: 322; 254; 349; 340; 347; 362; 170; 237; 258; 261; 370; 257; 384; 250; 261; 348; 349; 351; 260; 373 Å³/cell.
Listing total energy for the structures above in their given order: -5.298; -6.356; -6.386; -6.386; -6.419; -6.220; -6.342; -5.785; -6.365; -6.373; -6.258; -6.368; -6.274; -6.310; -6.856; -6.554; -6.802; -6.518; -6.545; -6.405 eV per atom.